(1)
La3YTm7 | PBE | relaxed

The structure in POSCAR format:
```
La3YTm7
1.0
-7.6357 1.3644 4.3348
6.5103 -3.7702 6.7677
3.7482 3.7193 -1.5368
Tm La Y
7 3 1
Cartesian
5.1057 1.0030 5.0392 Tm
-2.4830 0.3105 4.5266 Tm
0.7392 -0.1597 1.4202 Tm
1.8835 1.4732 8.1456 Tm
-0.8931 -0.1248 7.3458 Tm
-1.9438 2.5418 1.3990 Tm
3.5159 1.4383 2.2200 Tm
3.2551 -1.8851 3.3839 La
7.5298 -0.8110 6.5654 La
-4.9071 2.1245 3.0004 La
1.3114 0.6567 4.7829 Y
```

Theoretical density = 7.7 g cm⁻³
Offset from the most stable computed form = 0 meV per atom
Space group = P-1
Size of the total moment = 0.00 μB per formula unit

(2)
Dy3InBi2 | PBE | relaxed

The structure in POSCAR format:
```
Dy3InBi2
1.0
7.3789 0.1669 0.2875
-1.4806 7.6182 -0.0676
-1.4806 -3.8354 6.5826
Dy In Bi
6 2 4
Cartesian
-0.7403 3.8091 -0.0338 Dy
1.4603 1.9877 5.6744 Dy
2.9492 -1.8342 3.4351 Dy
6.6468 0.0906 2.4070 Dy
-2.2291 3.8591 4.3956 Dy
2.9574 1.9620 1.1282 Dy
4.0536 1.1333 3.9860 In
0.3641 2.8164 2.8166 In
0.3641 6.6780 0.5744 Bi
4.0536 -2.7283 6.2282 Bi
4.0536 4.8171 1.8472 Bi
0.3641 -0.8673 4.9554 Bi
```

Theoretical density = 9.0 g cm⁻³
Space group = C2/c
Final energy = -4.64 eV/atom
Size of the total moment = 0.00 μB per formula unit

(3)
CrHS2 | PBE | relaxed

The structure in POSCAR format:
```
CrHS2
1.0
6.1642 -0.1081 -0.6800
-0.0371 3.4327 0.0082
0.9061 1.6959 6.2928
Cr H S
2 2 4
Cartesian
2.9821 3.2534 4.2612 Cr
1.4085 1.5278 0.8875 Cr
3.9475 2.7204 0.1194 H
5.4203 1.5486 3.9378 H
4.2632 1.5454 3.2117 S
3.5004 1.4481 -0.0893 S
1.4285 3.2382 2.4312 S
1.6529 1.5198 5.4982 S
```

Theoretical density = 2.9 g cm⁻³
Offset from the most stable computed form = 49 meV per atom
Space group = P1
Size of the total moment = 3.00 μB per formula unit

(4)
AcSmNiBr | PBE | relaxed

The structure in POSCAR format:
```
AcSmNiBr
1.0
-3.5393 2.1308 -0.4276
0.1069 -3.3890 2.3993
4.2879 4.2355 5.7904
Ac Sm Br Ni
1 1 1 1
Cartesian
1.1188 3.4403 4.0750 Ac
0.0144 -2.7406 2.5853 Sm
-1.8529 2.2354 2.5077 Br
2.7361 2.5264 6.3064 Ni
```

Theoretical density = 7.2 g cm⁻³
Energy relative to the elements, uncorrected = -3.20 eV per formula unit
Space group = R3m
Size of the total moment = 0.00 μB per formula unit

(5)
Nd2GaBi | PBE | relaxed

The structure in POSCAR format:
```
Nd2GaBi
1.0
-1.9903 -2.4882 2.5231
-0.9027 -2.4423 -3.1206
5.8089 -3.5406 1.0907
Ga Nd Bi
1 2 1
Cartesian
-1.4465 -2.4653 -0.2988 Ga
1.4254 -0.8688 0.2676 Nd
4.3835 -2.6718 0.8231 Nd
1.4580 -4.2356 0.2466 Bi
```

Theoretical density = 8.3 g cm⁻³
Offset from the most stable computed form = 101 meV per atom
Space group = P4/mmm
Size of the total moment = 0.00 μB per formula unit

Q: The highest theoretical density belongs to which entry?
A: Dy3InBi2

Q: Which of these has the lowest theoretical density?
A: CrHS2

Q: Number 1 is which compound?
A: La3YTm7

Repeat the fifth record exactly.
Nd2GaBi | PBE | relaxed

The structure in POSCAR format:
```
Nd2GaBi
1.0
-1.9903 -2.4882 2.5231
-0.9027 -2.4423 -3.1206
5.8089 -3.5406 1.0907
Ga Nd Bi
1 2 1
Cartesian
-1.4465 -2.4653 -0.2988 Ga
1.4254 -0.8688 0.2676 Nd
4.3835 -2.6718 0.8231 Nd
1.4580 -4.2356 0.2466 Bi
```

Theoretical density = 8.3 g cm⁻³
Offset from the most stable computed form = 101 meV per atom
Space group = P4/mmm
Size of the total moment = 0.00 μB per formula unit